No. 1
Computed, not measured: an optimized crystal structure of LiCrPO4 at the PBE with a Hubbard U level of DFT. Values from VASP.

Geometry as Quantum ESPRESSO input:
```
&SYSTEM
  ibrav = 0, nat = 28, ntyp = 4
/
ATOMIC_SPECIES
Li 6.94 Li.upf
Cr 52.00 Cr.upf
P 30.97 P.upf
O 16.00 O.upf
CELL_PARAMETERS angstrom
5.952 0.439 -0.006
-0.381 5.478 1.274
-0.815 -1.533 9.858
ATOMIC_POSITIONS crystal
Li 0.505 0.688 0.648
Li 0.346 0.179 0.750
Li 0.495 0.312 0.352
Li 0.654 0.821 0.250
Cr 0.748 0.349 0.016
Cr 0.026 0.356 0.325
Cr 0.252 0.651 0.984
Cr 0.974 0.644 0.675
P 0.694 0.811 0.922
P 0.306 0.189 0.078
P 0.794 0.200 0.603
P 0.206 0.800 0.397
O 0.027 0.281 0.668
O 0.204 0.945 0.077
O 0.662 0.688 0.066
O 0.237 0.072 0.367
O 0.857 0.623 0.869
O 0.143 0.377 0.131
O 0.213 0.747 0.553
O 0.338 0.312 0.934
O 0.763 0.928 0.633
O 0.796 0.055 0.923
O 0.543 0.187 0.161
O 0.457 0.813 0.839
O 0.787 0.253 0.447
O 0.401 0.660 0.348
O 0.599 0.340 0.652
O 0.973 0.719 0.332
```

No. 2
Computed, not measured: an optimized crystal structure of Ca2CoRhO5 at the PBE with a Hubbard U level of DFT. Values from VASP.

Geometry as Quantum ESPRESSO input:
```
&SYSTEM
  ibrav = 0, nat = 18, ntyp = 4
/
ATOMIC_SPECIES
Ca 40.08 Ca.upf
Co 58.93 Co.upf
Rh 102.91 Rh.upf
O 16.00 O.upf
CELL_PARAMETERS angstrom
3.236 0.000 0.000
-1.618 6.902 0.000
0.000 0.000 9.569
ATOMIC_POSITIONS crystal
Ca 0.872 0.744 0.790
Ca 0.116 0.233 0.704
Ca 0.128 0.256 0.290
Ca 0.884 0.767 0.204
Co 0.516 0.032 0.975
Co 0.484 0.968 0.475
Rh 0.781 0.563 0.510
Rh 0.219 0.437 0.010
O 0.370 0.740 0.006
O 0.709 0.418 0.876
O 0.501 0.003 0.777
O 0.279 0.559 0.646
O 0.924 0.849 0.539
O 0.630 0.260 0.506
O 0.291 0.582 0.376
O 0.499 0.997 0.277
O 0.721 0.441 0.146
O 0.076 0.151 0.039
```

Number 1: DFT total energy -7.069 eV/atom. Number 2: DFT total energy -6.375 eV/atom.